Entry 1:
This record from Alexandria via LeMat-Bulk describes a relaxed structure of Sr2AsH2O6. The functional is PBE.

Cell lengths 5.908, 5.908, 5.908 Å; angles 51.41, 51.41, 51.41 degrees
Positions (direct):
1 Sr 0.229 0.229 0.229
2 Sr 0.771 0.771 0.771
3 As 0.000 0.000 0.000
4 H 0.403 0.403 0.403
5 H 0.597 0.597 0.597
6 O 0.242 0.242 0.739
7 O 0.242 0.739 0.242
8 O 0.261 0.758 0.758
9 O 0.739 0.242 0.242
10 O 0.758 0.261 0.758
11 O 0.758 0.758 0.261

Results
E: -5.55 eV/atom
Total moment: 0.00 μB/atom

=====

Entry 2:
This record from Alexandria via LeMat-Bulk describes a relaxed structure of TbAsH2O4. The functional is PBE.

Cell lengths 4.835, 5.427, 6.008 Å; angles 90.00, 90.00, 90.00 degrees
Positions (direct):
1 Tb 0.000 0.000 0.000
2 Tb 0.500 0.500 0.500
3 As 0.000 0.000 0.500
4 As 0.500 0.500 0.000
5 H 0.000 0.500 0.211
6 H 0.000 0.500 0.789
7 H 0.500 0.000 0.289
8 H 0.500 0.000 0.711
9 O 0.196 0.356 0.784
10 O 0.196 0.644 0.216
11 O 0.304 0.144 0.284
12 O 0.304 0.856 0.716
13 O 0.696 0.144 0.716
14 O 0.696 0.856 0.284
15 O 0.804 0.356 0.216
16 O 0.804 0.644 0.784

Results
E: -6.04 eV/atom
Total moment: 0.00 μB/atom

=====

Entry 3:
This record from Alexandria via LeMat-Bulk describes a relaxed structure of TbAs2HO6. The functional is PBE.

Cell lengths 7.290, 7.290, 6.796 Å; angles 99.73, 99.73, 93.14 degrees
Positions (direct):
1 Tb 0.225 0.775 0.750
2 Tb 0.775 0.225 0.250
3 As 0.136 0.249 0.637
4 As 0.249 0.136 0.137
5 As 0.751 0.864 0.863
6 As 0.864 0.751 0.363
7 H 0.171 0.829 0.250
8 H 0.829 0.171 0.750
9 O 0.112 0.222 0.324
10 O 0.117 0.785 0.400
11 O 0.192 0.478 0.753
12 O 0.215 0.883 0.100
13 O 0.222 0.112 0.824
14 O 0.478 0.192 0.253
15 O 0.522 0.808 0.747
16 O 0.778 0.888 0.176
17 O 0.785 0.117 0.900
18 O 0.808 0.522 0.247
19 O 0.883 0.215 0.600
20 O 0.888 0.778 0.676

Results
E: -6.35 eV/atom
Total moment: 0.00 μB/atom

=====

Entry 4:
This record from Alexandria via LeMat-Bulk describes a relaxed structure of TiAs2H4O9. The functional is PBE.

Cell lengths 8.987, 5.174, 17.136 Å; angles 90.00, 108.86, 90.00 degrees
Positions (direct):
1 Ti 0.240 0.244 0.486
2 Ti 0.240 0.256 0.986
3 Ti 0.760 0.744 0.014
4 Ti 0.760 0.756 0.514
5 As 0.004 0.742 0.395
6 As 0.004 0.758 0.895
7 As 0.461 0.738 0.594
8 As 0.461 0.762 0.094
9 As 0.539 0.238 0.906
10 As 0.539 0.262 0.406
11 As 0.996 0.242 0.105
12 As 0.996 0.258 0.605
13 H 0.154 0.079 0.229
14 H 0.154 0.421 0.729
15 H 0.199 0.628 0.252
16 H 0.199 0.872 0.752
17 H 0.300 0.682 0.820
18 H 0.300 0.818 0.320
19 H 0.407 0.724 0.718
20 H 0.407 0.776 0.218
21 H 0.593 0.224 0.782
22 H 0.593 0.276 0.282
23 H 0.700 0.182 0.680
24 H 0.700 0.318 0.180
25 H 0.801 0.128 0.248
26 H 0.801 0.372 0.748
27 H 0.846 0.579 0.271
28 H 0.846 0.921 0.771
29 O 0.057 0.058 0.414
30 O 0.057 0.442 0.914
31 O 0.098 0.249 0.211
32 O 0.098 0.251 0.711
33 O 0.126 0.133 0.058
34 O 0.126 0.367 0.558
35 O 0.164 0.545 0.413
36 O 0.164 0.955 0.913
37 O 0.256 0.707 0.760
38 O 0.256 0.793 0.260
39 O 0.301 0.568 0.052
40 O 0.301 0.932 0.552
41 O 0.369 0.140 0.416
42 O 0.369 0.360 0.916
43 O 0.426 0.072 0.059
44 O 0.426 0.428 0.559
45 O 0.496 0.238 0.799
46 O 0.496 0.262 0.299
47 O 0.504 0.738 0.701
48 O 0.504 0.762 0.201
49 O 0.574 0.572 0.441
50 O 0.574 0.928 0.941
51 O 0.631 0.640 0.084
52 O 0.631 0.860 0.584
53 O 0.699 0.068 0.448
54 O 0.699 0.432 0.948
55 O 0.744 0.207 0.740
56 O 0.744 0.293 0.240
57 O 0.836 0.045 0.087
58 O 0.836 0.455 0.587
59 O 0.874 0.633 0.442
60 O 0.874 0.867 0.942
61 O 0.902 0.749 0.289
62 O 0.902 0.751 0.789
63 O 0.943 0.558 0.086
64 O 0.943 0.942 0.586

Results
E: -6.17 eV/atom
Total moment: 0.00 μB/atom

=====

Entry 5:
This record from Alexandria via LeMat-Bulk describes a relaxed structure of TlAsH2O4. The functional is PBE.

Cell lengths 4.157, 6.892, 7.607 Å; angles 90.00, 90.00, 90.00 degrees
Positions (direct):
1 Tl 0.000 0.000 0.000
2 Tl 0.500 0.500 0.500
3 As 0.000 0.000 0.500
4 As 0.500 0.500 0.000
5 H 0.000 0.500 0.143
6 H 0.000 0.500 0.857
7 H 0.500 0.000 0.357
8 H 0.500 0.000 0.643
9 O 0.233 0.385 0.858
10 O 0.233 0.615 0.142
11 O 0.267 0.115 0.358
12 O 0.267 0.885 0.642
13 O 0.733 0.115 0.642
14 O 0.733 0.885 0.358
15 O 0.767 0.385 0.142
16 O 0.767 0.615 0.858

Results
E: -5.18 eV/atom
Total moment: 0.00 μB/atom

=====

Entry 6:
This record from Alexandria via LeMat-Bulk describes a relaxed structure of Tl2AsHO4. The functional is PBE.

Cell lengths 4.685, 6.016, 6.256 Å; angles 113.69, 91.46, 107.31 degrees
Positions (direct):
1 Tl 0.000 0.000 0.000
2 Tl 0.196 0.399 0.689
3 As 0.417 0.778 0.366
4 H 0.880 0.591 0.227
5 O 0.054 0.528 0.260
6 O 0.382 0.060 0.384
7 O 0.535 0.784 0.629
8 O 0.631 0.671 0.151

Results
E: -5.14 eV/atom
Total moment: 0.00 μB/atom

=====

Entry 7:
This record from Alexandria via LeMat-Bulk describes a relaxed structure of TlAs2HO6. The functional is PBE.

Cell lengths 8.697, 8.697, 4.870 Å; angles 100.47, 100.47, 101.30 degrees
Positions (direct):
1 Tl 0.131 0.869 0.750
2 Tl 0.869 0.131 0.250
3 As 0.230 0.378 0.920
4 As 0.378 0.230 0.420
5 As 0.622 0.770 0.580
6 As 0.770 0.622 0.080
7 H 0.342 0.658 0.250
8 H 0.658 0.342 0.750
9 O 0.059 0.237 0.840
10 O 0.230 0.569 0.068
11 O 0.237 0.059 0.340
12 O 0.313 0.394 0.612
13 O 0.394 0.313 0.112
14 O 0.431 0.770 0.432
15 O 0.569 0.230 0.568
16 O 0.606 0.687 0.888
17 O 0.687 0.606 0.388
18 O 0.763 0.941 0.660
19 O 0.770 0.431 0.932
20 O 0.941 0.763 0.160

Results
E: -5.55 eV/atom
Total moment: 0.00 μB/atom

=====

Entry 8:
This record from Alexandria via LeMat-Bulk describes a relaxed structure of UAsH2O6. The functional is PBE.

Cell lengths 4.764, 5.959, 8.524 Å; angles 90.00, 118.00, 90.00 degrees
Positions (direct):
1 U 0.000 0.000 0.000
2 U 0.000 0.500 0.500
3 As 0.500 0.000 0.500
4 As 0.500 0.500 0.000
5 H 0.185 0.062 0.657
6 H 0.185 0.438 0.157
7 H 0.815 0.562 0.843
8 H 0.815 0.938 0.343
9 O 0.148 0.002 0.273
10 O 0.148 0.498 0.773
11 O 0.259 0.153 0.586
12 O 0.259 0.347 0.086
13 O 0.374 0.723 0.541
14 O 0.374 0.777 0.041
15 O 0.626 0.223 0.959
16 O 0.626 0.277 0.459
17 O 0.741 0.653 0.914
18 O 0.741 0.847 0.414
19 O 0.852 0.502 0.227
20 O 0.852 0.998 0.727

Results
E: -6.98 eV/atom
Total moment: 0.10 μB/atom